1.
CeLuMnOs: optimized geometry, PBE-GGA.

Output
calculated volume = 80.1 Å³/cell
space group = F-43m (216)
formation energy from the elements = -18 kJ/mol of formula units

Structure (extended XYZ):
```
4
Lattice="-1.3492 2.6168 3.8402 -4.4549 -0.4975 1.8225 -0.6333 -2.1477 4.2897" Properties=species:S:1:pos:R:3 pbc="T T T"
Lu 0.0000 0.0000 0.0000
Mn -4.8280 -0.0213 7.4643
Os -1.6093 -0.0071 2.4881
Ce -3.2187 -0.0142 4.9762
```

2.
CeLuMnTc: optimized geometry, PBE-GGA.

Output
calculated volume = 80.1 Å³/cell
space group = F-43m (216)
formation energy from the elements = 21 kJ/mol of formula units

Structure (extended XYZ):
```
4
Lattice="4.8389 0.0000 0.0000 2.4195 4.1906 0.0000 2.4195 1.3969 3.9510" Properties=species:S:1:pos:R:3 pbc="T T T"
Lu 2.4195 1.3969 0.9877
Ce 7.2584 4.1906 2.9632
Tc 0.0000 0.0000 0.0000
Mn 4.8389 2.7937 1.9755
```

Repeat the second record exactly.
CeLuMnTc: optimized geometry, PBE-GGA.

Output
calculated volume = 80.1 Å³/cell
space group = F-43m (216)
formation energy from the elements = 21 kJ/mol of formula units

Structure (extended XYZ):
```
4
Lattice="4.8389 0.0000 0.0000 2.4195 4.1906 0.0000 2.4195 1.3969 3.9510" Properties=species:S:1:pos:R:3 pbc="T T T"
Lu 2.4195 1.3969 0.9877
Ce 7.2584 4.1906 2.9632
Tc 0.0000 0.0000 0.0000
Mn 4.8389 2.7937 1.9755
```

Question: What is the calculated volume in the first record?
Answer: 80.1 Å³/cell